# 1
A plane-wave DFT calculation with PBE-GGA was carried out for an optimized crystal structure of PuThCuRh.

The theoretical density comes out at 12.29 Mg/m³. For the volume, the calculation gives 87 Å³/cell. As for the space group: No. 216. The final energy comes out at -8.598 eV per atom. As for the density of states at the Fermi level: 9.94 states/eV/f.u. The formation energy is -0.30 eV/atom.

Geometry as POSCAR:
```
PuThCuRh
1.0
4.970 0.000 0.000
2.485 4.304 0.000
2.485 1.435 4.058
Cu Th Rh Pu
1 1 1 1
Cartesian
0.000 0.000 0.000
7.454 4.304 3.043
4.970 2.869 2.029
2.485 1.435 1.014
```

# 2
A plane-wave DFT calculation with PBE-GGA was carried out for an optimized crystal structure of CaNd8Sm4.

The theoretical density comes out at 6.51 Mg/m³. For the volume, the calculation gives 458 Å³/cell. As for the space group: No. 12. The final energy comes out at -4.509 eV per atom. As for the density of states at the Fermi level: 20.09 states/eV/f.u. The formation energy is 0.03 eV/atom.

Geometry as POSCAR:
```
CaNd8Sm4
1.0
-4.059 -1.683 -2.796
-3.940 -3.858 3.192
-7.817 14.727 -2.367
Sm Nd Ca
4 8 1
Cartesian
-8.783 4.147 0.554
-12.103 8.763 -2.256
-7.033 5.039 -2.524
-3.713 0.423 0.286
-10.669 5.428 -2.330
-8.491 8.398 -2.429
-5.147 3.758 0.360
-5.844 -2.526 0.304
-10.252 7.478 0.681
-7.325 0.788 0.459
-5.564 1.708 -2.651
-9.972 11.712 -2.274
0.000 0.000 0.000
```

# 3
A plane-wave DFT calculation with PBE-GGA was carried out for an optimized crystal structure of Te2S3F3.

The theoretical density comes out at 3.51 Mg/m³. For the volume, the calculation gives 774 Å³/cell. As for the space group: No. 148. The final energy comes out at -3.773 eV per atom. For the uncorrected formation energy, the calculation gives -5.9 eV per formula unit. As for the density of states at the Fermi level: 3.18 states/eV/f.u.

Geometry as POSCAR:
```
Te2S3F3
1.0
9.192 0.329 -0.342
0.341 9.191 -0.342
-0.330 -0.329 9.192
S Te F
12 8 12
Cartesian
2.953 0.184 8.155
2.969 8.074 4.692
0.707 2.953 8.673
8.496 6.238 -0.165
1.124 5.036 2.621
9.019 8.488 2.601
5.044 6.233 7.730
8.080 4.155 5.887
6.250 9.008 0.354
0.184 0.703 5.907
6.234 1.117 3.816
4.159 2.958 0.778
2.194 2.545 2.001
2.345 7.001 2.203
6.858 2.190 6.305
7.010 6.646 6.508
6.649 2.336 1.849
7.234 7.224 1.619
1.970 1.967 6.890
2.554 6.855 6.659
6.708 2.432 8.297
0.561 6.705 6.420
6.186 6.602 4.732
3.017 2.589 3.777
4.121 6.178 2.246
2.433 0.553 2.153
6.770 8.639 6.356
2.596 5.078 5.838
8.642 2.486 2.088
5.082 3.014 6.262
6.608 4.113 2.670
2.495 6.759 0.211
```

# 4
A plane-wave DFT calculation with PBE-GGA was carried out for an optimized crystal structure of ZrTl2Os2.

The theoretical density comes out at 14.13 Mg/m³. For the volume, the calculation gives 207 Å³/cell. As for the space group: No. 127. For the polymorph energy (0 for the lowest one), the calculation gives 0.000 eV/atom. The final energy comes out at -6.613 eV per atom. As for the density of states at the Fermi level: 3.68 states/eV/f.u. The formation energy is 0.54 eV/atom.

Geometry as POSCAR:
```
ZrTl2Os2
1.0
-1.400 6.318 2.446
0.965 -2.286 6.458
4.191 1.030 -0.262
Tl Os Zr
4 4 2
Cartesian
1.819 2.132 1.811
1.256 4.967 3.948
2.500 0.095 4.694
1.936 2.930 6.831
-0.755 3.665 2.340
-0.621 4.096 6.178
0.186 -0.064 2.726
0.319 0.367 6.564
0.000 0.000 0.000
-0.218 2.016 4.452
```

# 5
A plane-wave DFT calculation with PBE-GGA was carried out for an optimized crystal structure of KHfSc2Ni.

The theoretical density comes out at 5.59 Mg/m³. For the volume, the calculation gives 109 Å³/cell. As for the space group: No. 123. The final energy comes out at -4.462 eV per atom. As for the density of states at the Fermi level: 7.16 states/eV/f.u. The formation energy is 1.44 eV/atom.

Geometry as POSCAR:
```
KHfSc2Ni
1.0
4.894 0.000 0.000
0.000 4.543 0.000
0.000 0.000 4.894
Hf Sc Ni K
1 2 1 1
Cartesian
2.447 2.272 2.447
2.447 0.000 0.000
0.000 0.000 2.447
0.000 2.272 0.000
0.000 0.000 0.000
```

# 6
A plane-wave DFT calculation with PBE-GGA was carried out for an optimized crystal structure of NiSeSN.

The theoretical density comes out at 4.37 Mg/m³. For the volume, the calculation gives 70 Å³/cell. As for the space group: No. 1. For the polymorph energy (0 for the lowest one), the calculation gives 0.122 eV/atom. The final energy comes out at -5.106 eV per atom. For the uncorrected formation energy, the calculation gives 1.3 eV per formula unit. As for the density of states at the Fermi level: 3.10 states/eV/f.u.

Geometry as POSCAR:
```
NiSeSN
1.0
-0.227 -2.330 -1.951
3.893 -1.099 0.860
-2.263 -1.929 4.958
N Ni Se S
1 1 1 1
Cartesian
-1.764 -2.118 3.518
0.945 -3.975 3.041
1.546 -2.527 1.247
-0.501 -2.761 4.140
```

Q: The lowest theoretical density belongs to which entry?
A: Te2S3F3

Repeat the fifth record exactly.
A plane-wave DFT calculation with PBE-GGA was carried out for an optimized crystal structure of KHfSc2Ni.

The theoretical density comes out at 5.59 Mg/m³. For the volume, the calculation gives 109 Å³/cell. As for the space group: No. 123. The final energy comes out at -4.462 eV per atom. As for the density of states at the Fermi level: 7.16 states/eV/f.u. The formation energy is 1.44 eV/atom.

Geometry as POSCAR:
```
KHfSc2Ni
1.0
4.894 0.000 0.000
0.000 4.543 0.000
0.000 0.000 4.894
Hf Sc Ni K
1 2 1 1
Cartesian
2.447 2.272 2.447
2.447 0.000 0.000
0.000 0.000 2.447
0.000 2.272 0.000
0.000 0.000 0.000
```